No. 1
Here is a geometry-optimized AcHoTlRu structure from Alexandria. Energies are from PBE.

Summary:
ΔH_f (0 K) = -0.08 eV/atom

Cell lengths 7.512, 7.512, 7.512 Å; angles 90.00, 90.00, 90.00 degrees
Positions (direct):
Ac (0.000, 0.000, 0.000)
Ac (0.000, 0.500, 0.500)
Ac (0.500, 0.000, 0.500)
Ac (0.500, 0.500, 0.000)
Ho (0.000, 0.000, 0.500)
Ho (0.000, 0.500, 0.000)
Ho (0.500, 0.000, 0.000)
Ho (0.500, 0.500, 0.500)
Tl (0.250, 0.250, 0.750)
Tl (0.250, 0.750, 0.250)
Tl (0.750, 0.250, 0.250)
Tl (0.750, 0.750, 0.750)
Ru (0.250, 0.250, 0.250)
Ru (0.250, 0.750, 0.750)
Ru (0.750, 0.250, 0.750)
Ru (0.750, 0.750, 0.250)

No. 2
Here is a geometry-optimized AcHoZnRu structure from Alexandria. Energies are from PBE.

Summary:
ΔH_f (0 K) = -0.16 eV/atom

Cell lengths 7.260, 7.260, 7.260 Å; angles 90.00, 90.00, 90.00 degrees
Positions (direct):
Ac (0.000, 0.000, 0.000)
Ac (0.000, 0.500, 0.500)
Ac (0.500, 0.000, 0.500)
Ac (0.500, 0.500, 0.000)
Ho (0.000, 0.000, 0.500)
Ho (0.000, 0.500, 0.000)
Ho (0.500, 0.000, 0.000)
Ho (0.500, 0.500, 0.500)
Zn (0.250, 0.250, 0.750)
Zn (0.250, 0.750, 0.250)
Zn (0.750, 0.250, 0.250)
Zn (0.750, 0.750, 0.750)
Ru (0.250, 0.250, 0.250)
Ru (0.250, 0.750, 0.750)
Ru (0.750, 0.250, 0.750)
Ru (0.750, 0.750, 0.250)

No. 3
Here is a geometry-optimized Ac3HoS4 structure from Alexandria. Energies are from PBE.

Summary:
energy relative to the elements, uncorrected = -1.967 eV per atom

Cell lengths 7.373, 8.346, 7.252 Å; angles 90.00, 109.26, 90.00 degrees
Positions (direct):
Ac (0.000, 0.125, 0.250)
Ac (0.000, 0.375, 0.750)
Ac (0.000, 0.625, 0.250)
Ac (0.000, 0.875, 0.750)
Ac (0.500, 0.127, 0.750)
Ac (0.500, 0.873, 0.250)
Ho (0.500, 0.376, 0.250)
Ho (0.500, 0.624, 0.750)
S (0.264, 0.138, 0.014)
S (0.264, 0.862, 0.514)
S (0.273, 0.387, 0.500)
S (0.273, 0.613, 0.000)
S (0.727, 0.387, 0.000)
S (0.727, 0.613, 0.500)
S (0.736, 0.138, 0.486)
S (0.736, 0.862, 0.986)

No. 4
Here is a geometry-optimized AcHoS4 structure from Alexandria. Energies are from PBE.

Summary:
energy relative to the elements, uncorrected = -1.564 eV per atom

Cell lengths 7.378, 7.378, 7.150 Å; angles 114.61, 114.61, 95.92 degrees
Positions (direct):
Ac (0.128, 0.872, 0.750)
Ac (0.872, 0.128, 0.250)
Ho (0.486, 0.514, 0.250)
Ho (0.514, 0.486, 0.750)
S (0.168, 0.303, 0.773)
S (0.168, 0.518, 0.363)
S (0.303, 0.168, 0.273)
S (0.482, 0.832, 0.137)
S (0.518, 0.168, 0.863)
S (0.697, 0.832, 0.727)
S (0.832, 0.482, 0.637)
S (0.832, 0.697, 0.227)

No. 5
Here is a geometry-optimized AcHoS structure from Alexandria. Energies are from PBE.

Summary:
energy relative to the elements, uncorrected = -1.164 eV per atom
E above lowest polymorph = 0 meV per atom

Cell lengths 3.967, 3.967, 6.817 Å; angles 90.00, 90.00, 120.00 degrees
Positions (direct):
Ac (0.000, 0.000, 0.000)
Ho (0.667, 0.333, 0.487)
S (0.333, 0.667, 0.707)

No. 6
Here is a geometry-optimized Ac2HoS4 structure from Alexandria. Energies are from PBE.

Summary:
energy relative to the elements, uncorrected = -2.037 eV per atom
E above lowest polymorph = 26 meV per atom

Cell lengths 7.053, 7.790, 14.602 Å; angles 90.00, 90.00, 90.00 degrees
Positions (direct):
Ac (0.003, 0.098, 0.141)
Ac (0.003, 0.402, 0.641)
Ac (0.497, 0.598, 0.141)
Ac (0.497, 0.902, 0.641)
Ac (0.503, 0.098, 0.359)
Ac (0.503, 0.402, 0.859)
Ac (0.997, 0.598, 0.359)
Ac (0.997, 0.902, 0.859)
Ho (0.000, 0.000, 0.500)
Ho (0.000, 0.500, 0.000)
Ho (0.500, 0.000, 0.000)
Ho (0.500, 0.500, 0.500)
S (0.121, 0.543, 0.822)
S (0.121, 0.957, 0.322)
S (0.186, 0.699, 0.541)
S (0.186, 0.801, 0.041)
S (0.314, 0.199, 0.541)
S (0.314, 0.301, 0.041)
S (0.379, 0.043, 0.822)
S (0.379, 0.457, 0.322)
S (0.621, 0.543, 0.678)
S (0.621, 0.957, 0.178)
S (0.686, 0.699, 0.959)
S (0.686, 0.801, 0.459)
S (0.814, 0.199, 0.959)
S (0.814, 0.301, 0.459)
S (0.879, 0.043, 0.678)
S (0.879, 0.457, 0.178)

No. 7
Here is a geometry-optimized Ac4HoS7 structure from Alexandria. Energies are from PBE.

Summary:
energy relative to the elements, uncorrected = -2.121 eV per atom

Cell lengths 7.275, 7.275, 12.134 Å; angles 105.01, 105.01, 33.06 degrees
Positions (direct):
Ac (0.000, 0.000, 0.000)
Ac (0.199, 0.199, 0.770)
Ac (0.594, 0.594, 0.374)
Ac (0.894, 0.894, 0.561)
Ho (0.776, 0.776, 0.142)
S (0.168, 0.168, 0.216)
S (0.233, 0.233, 0.519)
S (0.368, 0.368, 0.060)
S (0.555, 0.555, 0.619)
S (0.632, 0.632, 0.932)
S (0.852, 0.852, 0.782)
S (0.932, 0.932, 0.333)

No. 8
Here is a geometry-optimized Ac2HoS4 structure from Alexandria. Energies are from PBE.

Summary:
energy relative to the elements, uncorrected = -2.063 eV per atom
E above lowest polymorph = 0 meV per atom

Cell lengths 13.089, 4.006, 8.249 Å; angles 90.00, 120.12, 90.00 degrees
Positions (direct):
Ac (0.151, 0.000, 0.200)
Ac (0.349, 0.500, 0.800)
Ac (0.651, 0.500, 0.200)
Ac (0.849, 0.000, 0.800)
Ho (0.000, 0.500, 0.500)
Ho (0.500, 0.000, 0.500)
S (0.057, 0.500, 0.865)
S (0.161, 0.000, 0.575)
S (0.339, 0.500, 0.425)
S (0.443, 0.000, 0.135)
S (0.557, 0.000, 0.865)
S (0.661, 0.500, 0.575)
S (0.839, 0.000, 0.425)
S (0.943, 0.500, 0.135)

No. 9
Here is a geometry-optimized AcHoS structure from Alexandria. Energies are from PBE.

Summary:
energy relative to the elements, uncorrected = -1.119 eV per atom
E above lowest polymorph = 44 meV per atom

Cell lengths 3.849, 3.849, 14.074 Å; angles 90.00, 90.00, 120.00 degrees
Positions (direct):
Ac (0.000, 0.000, 0.219)
Ac (0.000, 0.000, 0.781)
Ho (0.000, 0.000, 0.500)
Ho (0.667, 0.333, 0.000)
S (0.667, 0.333, 0.379)
S (0.667, 0.333, 0.621)

No. 10
Here is a geometry-optimized AcHo4S6 structure from Alexandria. Energies are from PBE.

Summary:
energy relative to the elements, uncorrected = -2.066 eV per atom

Cell lengths 6.717, 6.717, 19.946 Å; angles 90.00, 90.00, 145.87 degrees
Positions (direct):
Ac (0.157, 0.843, 0.750)
Ac (0.843, 0.157, 0.250)
Ho (0.095, 0.905, 0.123)
Ho (0.095, 0.905, 0.377)
Ho (0.361, 0.639, 0.039)
Ho (0.361, 0.639, 0.461)
Ho (0.639, 0.361, 0.539)
Ho (0.639, 0.361, 0.961)
Ho (0.905, 0.095, 0.623)
Ho (0.905, 0.095, 0.877)
S (0.000, 0.000, 0.000)
S (0.000, 0.000, 0.500)
S (0.172, 0.828, 0.250)
S (0.266, 0.734, 0.589)
S (0.266, 0.734, 0.911)
S (0.458, 0.542, 0.161)
S (0.458, 0.542, 0.339)
S (0.542, 0.458, 0.661)
S (0.542, 0.458, 0.839)
S (0.734, 0.266, 0.089)
S (0.734, 0.266, 0.411)
S (0.828, 0.172, 0.750)

No. 11
Here is a geometry-optimized Ac2HoS3 structure from Alexandria. Energies are from PBE.

Summary:
energy relative to the elements, uncorrected = -1.913 eV per atom

Cell lengths 4.199, 4.199, 17.650 Å; angles 90.00, 90.00, 90.00 degrees
Positions (direct):
Ac (0.000, 0.000, 0.168)
Ac (0.000, 0.000, 0.832)
Ac (0.500, 0.500, 0.332)
Ac (0.500, 0.500, 0.668)
Ho (0.000, 0.000, 0.500)
Ho (0.500, 0.500, 0.000)
S (0.000, 0.000, 0.000)
S (0.000, 0.000, 0.343)
S (0.000, 0.000, 0.657)
S (0.500, 0.500, 0.157)
S (0.500, 0.500, 0.500)
S (0.500, 0.500, 0.843)

No. 12
Here is a geometry-optimized Ac5HoS6 structure from Alexandria. Energies are from PBE.

Summary:
energy relative to the elements, uncorrected = -1.979 eV per atom

Cell lengths 7.346, 7.346, 7.352 Å; angles 99.70, 99.70, 120.07 degrees
Positions (direct):
Ac (0.000, 0.000, 0.000)
Ac (0.166, 0.834, 0.500)
Ac (0.328, 0.672, 0.000)
Ac (0.672, 0.328, 0.000)
Ac (0.834, 0.166, 0.500)
Ho (0.500, 0.500, 0.500)
S (0.107, 0.422, 0.265)
S (0.267, 0.267, 0.742)
S (0.422, 0.107, 0.265)
S (0.578, 0.893, 0.735)
S (0.733, 0.733, 0.258)
S (0.893, 0.578, 0.735)

Number 1: final energy -5.160 eV per atom. Number 2: final energy -4.973 eV per atom. Number 3: final energy -6.143 eV per atom. Number 4: final energy -5.764 eV per atom. Number 5: final energy -5.435 eV per atom. Number 6: final energy -6.223 eV per atom. Number 7: final energy -6.280 eV per atom. Number 8: final energy -6.249 eV per atom. Number 9: final energy -5.391 eV per atom. Number 10: final energy -6.355 eV per atom. Number 11: final energy -6.109 eV per atom. Number 12: final energy -6.136 eV per atom.